First-principles (GGA-PBE) data for V4Ru2Rh3 after structural relaxation, as listed in Alexandria via LeMat-Bulk.

a = 4.2578 Å, b = 4.2578 Å, c = 7.9936 Å
α = 90.00°, β = 90.00°, γ = 120.00°
Last column: nearest neighbours and their distance in Å.
Positions (direct):
1 V 0.0000 0.0000 0.1522  1 V 2.43, 3 Rh 2.52, 3 Ru 2.69
2 V 0.0000 0.0000 0.8478  1 V 2.43, 3 Rh 2.52, 3 Ru 2.69
3 V 0.3333 0.6667 0.6040  4 Rh 2.48-2.60, 4 Ru 2.52-2.60
4 V 0.6667 0.3333 0.3960  4 Rh 2.48-2.60, 4 Ru 2.52-2.60
5 Ru 0.3333 0.6667 0.2892  7 V 2.52-2.69
6 Ru 0.6667 0.3333 0.7108  7 V 2.52-2.69
7 Rh 0.0000 0.0000 0.5000  8 V 2.60-2.78
8 Rh 0.3333 0.6667 0.9143  4 V 2.48-2.52
9 Rh 0.6667 0.3333 0.0857  4 V 2.48-2.52

Summary:
**V**: 125.5 Å³/f.u.
**Spin magnetization**: 2.33 μB/cell
**Fermi-level density of states**: 1.265 states/eV/atom
**DFT formation energy**: -231 meV per atom